Entry from Alexandria: an optimized crystal structure of K2SnAu (PBE-GGA). Values from VASP.

Quantum ESPRESSO input file:
```
&SYSTEM
  ibrav = 0, nat = 8, ntyp = 3
/
ATOMIC_SPECIES
K 39.10 K.upf
Au 196.97 Au.upf
Sn 118.71 Sn.upf
ATOMIC_POSITIONS crystal
K 0.7988 0.1250 0.2500
K 0.9512 0.6250 0.2500
K 0.3750 0.2012 0.7500
K 0.8750 0.0488 0.7500
Au 0.0000 0.0000 0.0000
Au 0.7500 0.2500 0.5000
Sn 0.5000 0.5000 0.0000
Sn 0.2500 0.7500 0.5000
CELL_PARAMETERS angstrom
-8.4786 4.8048 7.7123
-7.7735 -9.2974 -2.7536
-7.1522 -3.6336 4.4143
```

Properties
Space group = I-42d
ΔH_f (0 K) = -158 meV/atom



Entry from Alexandria: an optimized crystal structure of K2Sn3Au5 (PBE-GGA). Values from VASP.

Quantum ESPRESSO input file:
```
&SYSTEM
  ibrav = 0, nat = 20, ntyp = 3
/
ATOMIC_SPECIES
K 39.10 K.upf
Sn 118.71 Sn.upf
Au 196.97 Au.upf
ATOMIC_POSITIONS crystal
K 0.1318 0.6022 0.1341
K 0.6318 0.1341 0.6022
K 0.8682 0.3978 0.8659
K 0.3682 0.8659 0.3978
Sn 0.3596 0.5419 0.7389
Sn 0.8596 0.7389 0.5419
Sn 0.6404 0.4581 0.2611
Sn 0.1404 0.2611 0.4581
Sn 0.2500 0.0000 0.0000
Sn 0.7500 0.0000 0.0000
Au 0.3950 0.2627 0.9473
Au 0.8950 0.9473 0.2627
Au 0.6050 0.7373 0.0527
Au 0.1050 0.0527 0.7373
Au 0.4699 0.7801 0.7801
Au 0.5301 0.2199 0.2199
Au 0.7500 0.5000 0.5000
Au 0.2500 0.5000 0.5000
Au 0.0301 0.2199 0.2199
Au 0.9699 0.7801 0.7801
CELL_PARAMETERS angstrom
6.0897 0.0000 3.3245
2.0310 8.5011 3.5194
-1.1505 -0.2943 9.3471
```

Properties
Space group = Ibam
ΔH_f (0 K) = -289 meV/atom



Entry from Alexandria: an optimized crystal structure of K2Sn2Au (PBE-GGA). Values from VASP.

Quantum ESPRESSO input file:
```
&SYSTEM
  ibrav = 0, nat = 10, ntyp = 3
/
ATOMIC_SPECIES
K 39.10 K.upf
Au 196.97 Au.upf
Sn 118.71 Sn.upf
ATOMIC_POSITIONS crystal
K 0.2964 0.7964 0.0000
K 0.7964 0.7036 0.0000
K 0.7036 0.2036 0.0000
K 0.2036 0.2964 0.0000
Au 0.0000 0.0000 0.0000
Au 0.5000 0.5000 0.0000
Sn 0.0939 0.5939 0.5000
Sn 0.5939 0.9061 0.5000
Sn 0.9061 0.4061 0.5000
Sn 0.4061 0.0939 0.5000
CELL_PARAMETERS angstrom
-0.6578 -0.8868 -10.4310
-3.5047 -9.8298 1.0567
-3.0398 1.0944 0.0987
```

Properties
Relative energy among the computed polymorphs = 32.08 kJ/mol of atoms
Space group = P4/mbm
ΔH_f (0 K) = 117 meV/atom



Entry from Alexandria: an optimized crystal structure of KSn2Au (PBE-GGA). Values from VASP.

Quantum ESPRESSO input file:
```
&SYSTEM
  ibrav = 0, nat = 4, ntyp = 3
/
ATOMIC_SPECIES
K 39.10 K.upf
Au 196.97 Au.upf
Sn 118.71 Sn.upf
ATOMIC_POSITIONS crystal
K 0.5000 0.5000 0.5000
Au 0.5000 0.5000 0.0000
Sn 0.0000 0.0000 0.8198
Sn 0.0000 0.0000 0.1802
CELL_PARAMETERS angstrom
-0.0285 2.5819 -2.7331
-3.5041 -1.0089 -0.9166
-2.9259 5.4542 5.1828
```

Properties
Space group = P4/mmm
ΔH_f (0 K) = -160 meV/atom



Entry from Alexandria: an optimized crystal structure of K3Sn2Au7 (PBE-GGA). Values from VASP.

Quantum ESPRESSO input file:
```
&SYSTEM
  ibrav = 0, nat = 12, ntyp = 3
/
ATOMIC_SPECIES
K 39.10 K.upf
Sn 118.71 Sn.upf
Au 196.97 Au.upf
ATOMIC_POSITIONS crystal
K 0.0000 0.0000 0.0000
K 0.8570 0.8570 0.4291
K 0.1430 0.1430 0.5709
Sn 0.6716 0.6716 0.9852
Sn 0.3284 0.3284 0.0148
Au 0.5000 0.5000 0.5000
Au 0.9106 0.4180 0.2535
Au 0.4180 0.9106 0.2535
Au 0.4180 0.4180 0.2535
Au 0.0894 0.5820 0.7465
Au 0.5820 0.5820 0.7465
Au 0.5820 0.0894 0.7465
CELL_PARAMETERS angstrom
5.6913 0.0000 1.7814
2.5669 5.0796 1.7814
-0.0372 -0.0229 10.1012
```

Properties
Space group = R-3m
ΔH_f (0 K) = -232 meV/atom



Entry from Alexandria: an optimized crystal structure of KSn2Au2 (PBE-GGA). Values from VASP.

Quantum ESPRESSO input file:
```
&SYSTEM
  ibrav = 0, nat = 10, ntyp = 3
/
ATOMIC_SPECIES
K 39.10 K.upf
Sn 118.71 Sn.upf
Au 196.97 Au.upf
ATOMIC_POSITIONS crystal
K 0.8751 0.7499 0.2500
K 0.1249 0.2501 0.7500
Sn 0.4999 0.7498 0.0011
Sn 0.7497 0.2502 0.5010
Sn 0.5001 0.2502 0.9989
Sn 0.2503 0.7498 0.4990
Au 0.5760 0.3478 0.2501
Au 0.8258 0.8484 0.7500
Au 0.1742 0.1516 0.2500
Au 0.4240 0.6522 0.7500
CELL_PARAMETERS angstrom
-3.4628 -7.2783 -2.6038
3.5048 -5.3139 -3.5811
-0.2116 -6.3022 4.1468
```

Properties
Relative energy among the computed polymorphs = 2.27 kJ/mol of atoms
Space group = Fddd
ΔH_f (0 K) = -254 meV/atom



Entry from Alexandria: an optimized crystal structure of K2SnAu5 (PBE-GGA). Values from VASP.

Quantum ESPRESSO input file:
```
&SYSTEM
  ibrav = 0, nat = 8, ntyp = 3
/
ATOMIC_SPECIES
K 39.10 K.upf
Sn 118.71 Sn.upf
Au 196.97 Au.upf
ATOMIC_POSITIONS crystal
K 0.5011 0.7334 0.2345
K 0.4997 0.2282 0.7277
Sn 0.9999 0.0398 0.0399
Au 0.9959 0.6963 0.2644
Au 0.5628 0.2648 0.2599
Au 0.4367 0.6972 0.7021
Au 0.0043 0.2692 0.7008
Au 0.9996 0.2941 0.2938
CELL_PARAMETERS angstrom
6.0625 -0.5603 -3.5975
-3.9186 5.8399 0.1566
-0.4553 0.5822 6.9911
```

Properties
Space group = P1
ΔH_f (0 K) = -250 meV/atom



Entry from Alexandria: an optimized crystal structure of K12SnAu6 (PBE-GGA). Values from VASP.

Quantum ESPRESSO input file:
```
&SYSTEM
  ibrav = 0, nat = 19, ntyp = 3
/
ATOMIC_SPECIES
K 39.10 K.upf
Sn 118.71 Sn.upf
Au 196.97 Au.upf
ATOMIC_POSITIONS crystal
K 0.2980 0.1227 0.8247
K 0.2980 0.4733 0.1753
K 0.7020 0.5267 0.8247
K 0.7020 0.8773 0.1753
K 0.1227 0.8247 0.2980
K 0.4733 0.1753 0.2980
K 0.5267 0.8247 0.7020
K 0.8773 0.1753 0.7020
K 0.8247 0.2980 0.1227
K 0.1753 0.2980 0.4733
K 0.8247 0.7020 0.5267
K 0.1753 0.7020 0.8773
Sn 0.0000 0.0000 0.0000
Au 0.3763 0.5000 0.8763
Au 0.6237 0.5000 0.1237
Au 0.5000 0.8763 0.3763
Au 0.5000 0.1237 0.6237
Au 0.8763 0.3763 0.5000
Au 0.1237 0.6237 0.5000
CELL_PARAMETERS angstrom
-2.0471 -8.6094 -4.7117
5.3415 5.9379 -6.0600
5.2763 -1.9098 8.3082
```

Properties
Space group = Im-3
ΔH_f (0 K) = -222 meV/atom



Entry from Alexandria: an optimized crystal structure of K2SnAu (PBE-GGA). Values from VASP.

Quantum ESPRESSO input file:
```
&SYSTEM
  ibrav = 0, nat = 8, ntyp = 3
/
ATOMIC_SPECIES
K 39.10 K.upf
Sn 118.71 Sn.upf
Au 196.97 Au.upf
ATOMIC_POSITIONS crystal
K 0.7500 0.9862 0.6479
K 0.2500 0.0138 0.3521
K 0.2500 0.3521 0.0138
K 0.7500 0.6479 0.9862
Sn 0.7500 0.2304 0.2304
Sn 0.2500 0.7696 0.7696
Au 0.0000 0.5000 0.5000
Au 0.5000 0.5000 0.5000
CELL_PARAMETERS angstrom
6.9207 0.0000 0.0000
0.0000 6.2381 -2.3168
0.0000 0.1088 6.6535
```

Properties
Space group = Cmcm
ΔH_f (0 K) = -260 meV/atom



Entry from Alexandria: an optimized crystal structure of KSn5Au2 (PBE-GGA). Values from VASP.

Quantum ESPRESSO input file:
```
&SYSTEM
  ibrav = 0, nat = 8, ntyp = 3
/
ATOMIC_SPECIES
K 39.10 K.upf
Sn 118.71 Sn.upf
Au 196.97 Au.upf
ATOMIC_POSITIONS crystal
K 0.0000 0.0000 0.0000
Sn 0.0000 0.5000 0.5000
Sn 0.6494 0.5510 0.1502
Sn 0.3506 0.4490 0.8498
Sn 0.3506 0.8498 0.4490
Sn 0.6494 0.1502 0.5510
Au 0.7581 0.7419 0.7419
Au 0.2419 0.2581 0.2581
CELL_PARAMETERS angstrom
4.2843 0.0000 0.0000
2.1421 7.5958 0.4972
2.1421 2.7595 7.0943
```

Properties
Space group = Immm
ΔH_f (0 K) = -162 meV/atom



Entry from Alexandria: an optimized crystal structure of KSn6Au5 (PBE-GGA). Values from VASP.

Quantum ESPRESSO input file:
```
&SYSTEM
  ibrav = 0, nat = 12, ntyp = 3
/
ATOMIC_SPECIES
K 39.10 K.upf
Au 196.97 Au.upf
Sn 118.71 Sn.upf
ATOMIC_POSITIONS crystal
K 0.0000 0.0000 0.0000
Au 0.1164 0.7672 0.5000
Au 0.3084 0.3833 0.0000
Au 0.5000 0.0000 0.5000
Au 0.6916 0.6167 0.0000
Au 0.8836 0.2328 0.5000
Sn 0.4680 0.4019 0.2762
Sn 0.1302 0.4019 0.7238
Sn 0.6666 0.0000 0.7576
Sn 0.3334 0.0000 0.2424
Sn 0.8698 0.5981 0.2762
Sn 0.5320 0.5981 0.7238
CELL_PARAMETERS angstrom
1.4427 4.9156 5.7533
-0.5717 -1.8283 6.8630
7.1301 0.0017 2.3146
```

Properties
Space group = C2/m
ΔH_f (0 K) = -185 meV/atom



Entry from Alexandria: an optimized crystal structure of K3Sn3Au2 (PBE-GGA). Values from VASP.

Quantum ESPRESSO input file:
```
&SYSTEM
  ibrav = 0, nat = 32, ntyp = 3
/
ATOMIC_SPECIES
K 39.10 K.upf
Sn 118.71 Sn.upf
Au 196.97 Au.upf
ATOMIC_POSITIONS crystal
K 0.1010 0.4576 0.3861
K 0.6010 0.0424 0.6139
K 0.8990 0.5424 0.8861
K 0.3990 0.9576 0.1139
K 0.8990 0.5424 0.6139
K 0.3990 0.9576 0.3861
K 0.1010 0.4576 0.1139
K 0.6010 0.0424 0.8861
K 0.5788 0.2816 0.2500
K 0.0788 0.2184 0.7500
K 0.4212 0.7184 0.7500
K 0.9212 0.7816 0.2500
Sn 0.0644 0.1379 0.2500
Sn 0.5644 0.3621 0.7500
Sn 0.9356 0.8621 0.7500
Sn 0.4356 0.6379 0.2500
Sn 0.6154 0.3167 0.4661
Sn 0.1154 0.1833 0.5339
Sn 0.3846 0.6833 0.9661
Sn 0.8846 0.8167 0.0339
Sn 0.3846 0.6833 0.5339
Sn 0.8846 0.8167 0.4661
Sn 0.6154 0.3167 0.0339
Sn 0.1154 0.1833 0.9661
Au 0.8916 0.0937 0.3944
Au 0.3916 0.4063 0.6056
Au 0.1084 0.9063 0.8944
Au 0.6084 0.5937 0.1056
Au 0.1084 0.9063 0.6056
Au 0.6084 0.5937 0.3944
Au 0.8916 0.0937 0.1056
Au 0.3916 0.4063 0.8944
CELL_PARAMETERS angstrom
-5.7292 2.7059 1.2546
-4.2324 -7.6926 -2.7368
0.6437 -6.0173 15.9177
```

Properties
Relative energy among the computed polymorphs = 6.28 kJ/mol of atoms
Space group = Pnma
ΔH_f (0 K) = -217 meV/atom



Number 1: density of states at the Fermi level 4.99 states/eV/cell. Number 2: density of states at the Fermi level 7.80 states/eV/cell. Number 3: density of states at the Fermi level 5.97 states/eV/cell. Number 4: density of states at the Fermi level 2.04 states/eV/cell. Number 5: density of states at the Fermi level 3.63 states/eV/cell. Number 6: density of states at the Fermi level 4.03 states/eV/cell. Number 7: density of states at the Fermi level 1.74 states/eV/cell. Number 8: density of states at the Fermi level 3.59 states/eV/cell. Number 9: density of states at the Fermi level 7.12 states/eV/cell. Number 10: density of states at the Fermi level 2.75 states/eV/cell. Number 11: density of states at the Fermi level 5.11 states/eV/cell. Number 12: density of states at the Fermi level 15.66 states/eV/cell.